#A
Density functional theory data (PBE) for a relaxed structure of SrTaTc2.

abc: 5.2748 5.2748 5.6805
angles: 104.44 104.44 35.18
Fractional coordinates of all 4 atoms:
Sr1 0.0000 0.0000 0.0000
Ta1 0.7979 0.7979 0.3713
Tc1 0.2169 0.2169 0.6518
Tc2 0.5108 0.5108 0.5147


#B
Density functional theory data (PBE) for a relaxed structure of SrTaTc2.

abc: 9.1856 9.1856 9.1856
angles: 19.95 19.95 19.95
Fractional coordinates of all 4 atoms:
Sr1 0.0000 0.0000 0.0000
Ta1 0.5000 0.5000 0.5000
Tc1 0.2369 0.2369 0.2369
Tc2 0.7631 0.7631 0.7631


Of them, #A has the highest stability.